Entry 1:
# Na2UGeSe5

An optimized crystal structure of Na2UGeSe5 (GGA-PBE, Alexandria via LeMat-Bulk).

Lattice parameters (Å, degrees): 4.244 18.032 13.300 90.00 90.00 90.00
Space group Cmc2_1 (No. 36)
One atom of each set of equivalent atoms:
Na  0.000  0.103  0.000 (multiplicity 4)
Na  0.000  0.107  0.675 (multiplicity 4)
U  0.000  0.217  0.374 (multiplicity 4)
Ge  0.000  0.435  0.764 (multiplicity 4)
Se  0.000  0.054  0.366 (multiplicity 4)
Se  0.000  0.288  0.009 (multiplicity 4)
Se  0.000  0.299  0.729 (multiplicity 4)
Se  0.000  0.361  0.342 (multiplicity 4)
Se  0.000  0.494  0.608 (multiplicity 4)

Results
size of the total moment: 5.5 μB/cell
D(E_F): 0.49 states/eV/atom
formation energy without anion corrections: -843.3 meV per atom

---

Entry 2:
# Na4Y3GeSe8

An optimized crystal structure of Na4Y3GeSe8 (GGA-PBE, Alexandria via LeMat-Bulk).

Lattice parameters (Å, degrees): 8.2146 8.2146 20.9757 90.00 90.00 120.00
Space group R-3m (No. 166, hexagonal axes)
One atom of each set of equivalent atoms:
Na  0.0000  0.0000  0.0000 (multiplicity 3)
Na  0.0000  0.5000  0.0000 (multiplicity 9)
Y  0.0000  0.5000  0.5000 (multiplicity 9)
Ge  0.0000  0.0000  0.5000 (multiplicity 3)
Se  0.0000  0.0000  0.2439 (multiplicity 6)
Se  0.0119  0.5059  0.2412 (multiplicity 18)

Results
size of the total moment: 0.0 μB/cell
D(E_F): 0.10 states/eV/atom
formation energy without anion corrections: -1402.7 meV per atom

---

Entry 3:
# NaZn2GeSe4

An optimized crystal structure of NaZn2GeSe4 (GGA-PBE, Alexandria via LeMat-Bulk).

Lattice parameters (Å, degrees): 8.498 8.505 11.894 90.00 90.00 90.00
Space group Fmm2 (No. 42)
One atom of each set of equivalent atoms:
Na  0.000  0.000  0.000 (multiplicity 4)
Zn  0.250  0.250  0.250 (multiplicity 8)
Ge  0.000  0.000  0.500 (multiplicity 4)
Se  0.000  0.233  0.636 (multiplicity 8)
Se  0.233  0.000  0.363 (multiplicity 8)

Results
size of the total moment: 0.0 μB/cell
D(E_F): 0.66 states/eV/atom
formation energy without anion corrections: -548.2 meV per atom

---

Entry 4:
# Na2ZnGe2Se6

An optimized crystal structure of Na2ZnGe2Se6 (GGA-PBE, Alexandria via LeMat-Bulk).

Lattice parameters (Å, degrees): 7.955 7.955 19.043 90.00 90.00 90.00
Space group I4/mcm (No. 140)
One atom of each set of equivalent atoms:
Na  0.000  0.000  0.123 (multiplicity 8)
Zn  0.000  0.500  0.250 (multiplicity 4)
Ge  0.000  0.500  0.085 (multiplicity 8)
Se  0.162  0.338  0.000 (multiplicity 8)
Se  0.166  0.334  0.339 (multiplicity 16)

Results
size of the total moment: 0.0 μB/cell
D(E_F): 0.00 states/eV/atom
formation energy without anion corrections: -623.9 meV per atom

---

Entry 5:
# NaSi2Ge2

An optimized crystal structure of NaSi2Ge2 (GGA-PBE, Alexandria via LeMat-Bulk).

Lattice parameters (Å, degrees): 7.449 7.449 3.558 90.00 90.00 90.00
Space group P4/mbm (No. 127)
One atom of each set of equivalent atoms:
Na  0.000  0.000  0.000 (multiplicity 2)
Si  0.120  0.380  0.000 (multiplicity 4)
Ge  0.149  0.649  0.500 (multiplicity 4)

Results
ΔE to the lowest computed polymorph: 0.169 eV per atom
size of the total moment: 0.0 μB/cell
D(E_F): 0.33 states/eV/atom
formation energy without anion corrections: 242.7 meV per atom

---

Entry 6:
# NaSiGe2

An optimized crystal structure of NaSiGe2 (GGA-PBE, Alexandria via LeMat-Bulk).

Lattice parameters (Å, degrees): 3.6096 3.6096 23.2911 90.00 90.00 120.00
Space group R-3m (No. 166, hexagonal axes)
One atom of each set of equivalent atoms:
Na  0.0000  0.0000  0.0000 (multiplicity 3)
Si  0.0000  0.0000  0.5000 (multiplicity 3)
Ge  0.0000  0.0000  0.2300 (multiplicity 6)

Results
size of the total moment: 0.0 μB/cell
D(E_F): 0.40 states/eV/atom
formation energy without anion corrections: 171.6 meV per atom

---

Entry 7:
# Na2SiGe

An optimized crystal structure of Na2SiGe (GGA-PBE, Alexandria via LeMat-Bulk).

Lattice parameters (Å, degrees): 6.964 6.964 6.964 90.00 90.00 90.00
Space group Fm-3m (No. 225)
One atom of each set of equivalent atoms:
Na  0.250  0.250  0.250 (multiplicity 8)
Si  0.000  0.000  0.000 (multiplicity 4)
Ge  0.000  0.000  0.500 (multiplicity 4)

Results
ΔE to the lowest computed polymorph: 0.241 eV per atom
size of the total moment: 0.0 μB/cell
D(E_F): 0.01 states/eV/atom
formation energy without anion corrections: 305.3 meV per atom

---

Entry 8:
# NaSiGe

An optimized crystal structure of NaSiGe (GGA-PBE, Alexandria via LeMat-Bulk).

Lattice parameters (Å, degrees): 6.729 3.885 11.180 90.00 101.50 90.00
Space group C2/m (No. 12)
One atom of each set of equivalent atoms:
Na  0.249  0.000  0.250 (multiplicity 4)
Si  0.156  0.000  0.966 (multiplicity 4)
Ge  0.149  0.500  0.448 (multiplicity 4)

Results
ΔE to the lowest computed polymorph: 0.000 eV per atom
size of the total moment: 0.0 μB/cell
D(E_F): 0.51 states/eV/atom
formation energy without anion corrections: 27.9 meV per atom

---

Entry 9:
# Na2SiGe

An optimized crystal structure of Na2SiGe (GGA-PBE, Alexandria via LeMat-Bulk).

Lattice parameters (Å, degrees): 11.324 11.324 4.785 90.00 90.00 90.00
Space group I-42d (No. 122)
One atom of each set of equivalent atoms:
Na  0.005  0.750  0.125 (multiplicity 8)
Si  0.000  0.000  0.000 (multiplicity 4)
Ge  0.000  0.000  0.500 (multiplicity 4)

Results
ΔE to the lowest computed polymorph: 0.198 eV per atom
size of the total moment: 0.0 μB/cell
D(E_F): 0.51 states/eV/atom
formation energy without anion corrections: 262.2 meV per atom

---

Entry 10:
# NaSiGe2

An optimized crystal structure of NaSiGe2 (GGA-PBE, Alexandria via LeMat-Bulk).

Lattice parameters (Å, degrees): 7.626 7.626 5.729 90.00 90.00 90.00
Space group I-42d (No. 122)
One atom of each set of equivalent atoms:
Na  0.000  0.000  0.000 (multiplicity 4)
Si  0.000  0.000  0.500 (multiplicity 4)
Ge  0.191  0.250  0.625 (multiplicity 8)

Results
size of the total moment: 0.0 μB/cell
D(E_F): 0.38 states/eV/atom
formation energy without anion corrections: 120.6 meV per atom

---

Entry 11:
# Na2SiGe

An optimized crystal structure of Na2SiGe (GGA-PBE, Alexandria via LeMat-Bulk).

Lattice parameters (Å, degrees): 7.413 4.931 5.725 90.00 119.35 90.00
Space group Cm (No. 8)
One atom of each set of equivalent atoms:
Na  0.000  0.000  0.000 (multiplicity 2)
Na  0.235  0.500  0.310 (multiplicity 2)
Si  0.042  0.500  0.662 (multiplicity 2)
Ge  0.196  0.000  0.652 (multiplicity 2)

Results
ΔE to the lowest computed polymorph: 0.036 eV per atom
size of the total moment: 0.0 μB/cell
D(E_F): 0.24 states/eV/atom
formation energy without anion corrections: 100.1 meV per atom

---

Entry 12:
# NaSi2Ge2

An optimized crystal structure of NaSi2Ge2 (GGA-PBE, Alexandria via LeMat-Bulk).

Lattice parameters (Å, degrees): 4.016 4.016 14.218 90.00 90.00 90.00
Space group I4/mmm (No. 139)
One atom of each set of equivalent atoms:
Na  0.000  0.000  0.000 (multiplicity 2)
Si  0.000  0.500  0.250 (multiplicity 4)
Ge  0.000  0.000  0.362 (multiplicity 4)

Results
ΔE to the lowest computed polymorph: 0.103 eV per atom
size of the total moment: 0.0 μB/cell
D(E_F): 0.26 states/eV/atom
formation energy without anion corrections: 176.1 meV per atom

---

The highest size of the total moment belongs to which entry?
Na2UGeSe5

---

Look up the formation energy without anion corrections of the fifth one.
242.7 meV per atom

---

Which value of formation energy without anion corrections does entry 1 give?
-843.3 meV per atom

---

D(E_F) of number 11 (Na2SiGe)?
0.24 states/eV/atom